First-principles (PBE) data for crystalline TbDyMg2Pd4 at its relaxed geometry, as listed in Alexandria.

POSCAR file:
```
TbDyMg2Pd4
1.0
4.7815 0.0000 0.0000
2.3907 4.1409 0.0000
2.3907 1.3803 7.8087
Tb Dy Mg Pd
1 1 2 4
Cartesian
0.0000 0.0000 0.0000 Tb
4.7815 2.7606 3.9043 Dy
7.1722 4.1409 5.8523 Mg
2.3907 1.3803 1.9564 Mg
4.7815 2.7606 6.8185 Pd
7.1722 4.1409 2.9302 Pd
2.3907 1.3803 4.8785 Pd
4.7815 2.7606 0.9902 Pd
```

## Properties
Crystal system: trigonal

First-principles (PBE) data for crystalline TbDyMgPd at its relaxed geometry, as listed in Alexandria.

POSCAR file:
```
TbDyMgPd
1.0
-0.9030 -3.8742 -3.2582
3.9172 -2.2942 -2.4153
1.3498 -4.7962 1.2712
Mg Tb Pd Dy
1 1 1 1
Cartesian
2.1820 -5.4823 -2.2012 Mg
1.0910 -2.7412 -1.1006 Tb
0.0000 0.0000 0.0000 Pd
3.2730 -8.2235 -3.3017 Dy
```

## Properties
Crystal system: cubic

First-principles (PBE) data for crystalline DyMgTlPd at its relaxed geometry, as listed in Alexandria.

POSCAR file:
```
DyMgTlPd
1.0
4.9793 0.0000 0.0000
2.4896 4.3122 0.0000
2.4896 1.4374 4.0656
Tl Mg Pd Dy
1 1 1 1
Cartesian
4.9793 2.8748 2.0328 Tl
7.4689 4.3122 3.0492 Mg
0.0000 0.0000 0.0000 Pd
2.4896 1.4374 1.0164 Dy
```

## Properties
Crystal system: cubic

Energy of formation from the pure elements values, unit eV per formula unit, following the record order: -6.40 -1.59 -1.99.